Entry 1:
## Ba3Tc (PBE-GGA)

Data for a relaxed Ba3Tc crystal.

VASP energy: -3.399 eV/atom
energy of formation: 61.2 kJ/mol of atoms
energy relative to the lowest polymorph listed for this composition: 286 meV/atom
SG: No. 63
size of the total moment: 0.4 Bohr magnetons per cell

Structure (extended XYZ):
```
8
Lattice="3.966 -10.486 0.000 3.966 10.486 0.000 0.000 0.000 4.228" Properties=species:S:1:pos:R:3 pbc="T T T"
Tc 3.966 3.069 3.171
Tc 3.966 -3.069 1.057
Ba 3.966 5.399 1.057
Ba 5.833 -1.845 3.171
Ba 3.966 -5.399 3.171
Ba 2.099 1.845 1.057
Ba 5.833 1.845 1.057
Ba 2.099 -1.845 3.171
```


Entry 2:
## Ba7Tc (PBE-GGA)

Data for a relaxed Ba7Tc crystal.

VASP energy: -2.449 eV/atom
energy of formation: 51.1 kJ/mol of atoms
SG: No. 225
size of the total moment: 2.1 Bohr magnetons per cell

Structure (extended XYZ):
```
8
Lattice="1.876 -3.053 7.586 -5.237 1.243 6.434 -4.388 -6.425 3.139" Properties=species:S:1:pos:R:3 pbc="T T T"
Ba -1.681 -0.905 7.010
Ba -2.194 -3.212 1.569
Ba -2.619 0.622 3.217
Ba -4.813 -2.591 4.787
Ba -1.256 -4.739 5.362
Ba -3.875 -4.117 8.579
Ba 0.938 -1.526 3.793
Tc 0.000 0.000 0.000
```


Entry 3:
## Ba5Tc (PBE-GGA)

Data for a relaxed Ba5Tc crystal.

VASP energy: -2.853 eV/atom
energy of formation: 46.1 kJ/mol of atoms
energy relative to the lowest polymorph listed for this composition: 40 meV/atom
SG: No. 123
size of the total moment: 1.6 Bohr magnetons per cell

Structure (extended XYZ):
```
6
Lattice="-4.017 -0.635 0.750 0.975 -2.186 3.372 -0.514 14.666 9.658" Properties=species:S:1:pos:R:3 pbc="T T T"
Ba -1.879 8.793 8.780
Ba -1.677 3.052 5.000
Ba -0.460 13.125 8.643
Ba -0.257 7.333 4.829
Ba -0.054 1.541 1.015
Tc -1.521 -1.411 2.061
```


Entry 4:
## BaTc (PBE-GGA)

Data for a relaxed BaTc crystal.

VASP energy: -5.824 eV/atom
energy of formation: 30.9 kJ/mol of atoms
energy relative to the lowest polymorph listed for this composition: 0 meV/atom
SG: No. 2
size of the total moment: 0.0 Bohr magnetons per cell

Structure (extended XYZ):
```
4
Lattice="-1.413 -2.233 -3.271 2.033 -1.924 3.137 -8.986 0.629 3.485" Properties=species:S:1:pos:R:3 pbc="T T T"
Ba -6.653 -0.052 2.925
Ba -1.712 -3.476 0.427
Tc -4.873 -1.835 0.671
Tc -3.492 -1.693 2.680
```


Entry 5:
## BaTc (PBE-GGA)

Data for a relaxed BaTc crystal.

VASP energy: -5.510 eV/atom
energy of formation: 61.2 kJ/mol of atoms
energy relative to the lowest polymorph listed for this composition: 313 meV/atom
SG: No. 44
size of the total moment: 0.0 Bohr magnetons per cell

Structure (extended XYZ):
```
8
Lattice="-1.998 -0.077 -3.351 -4.085 -8.717 2.636 -5.064 3.263 2.945" Properties=species:S:1:pos:R:3 pbc="T T T"
Tc -3.815 2.458 2.218
Tc -3.844 1.795 -0.021
Tc -2.355 -4.157 1.500
Tc -4.324 -3.570 0.388
Ba -2.156 -1.515 -0.952
Ba -4.132 -0.790 2.482
Ba -5.732 -4.204 3.514
Ba -4.641 -6.819 0.652
```


Entry 6:
## Ba2Tc3 (PBE-GGA)

Data for a relaxed Ba2Tc3 crystal.

VASP energy: -6.302 eV/atom
energy of formation: 66.2 kJ/mol of atoms
energy relative to the lowest polymorph listed for this composition: 0 meV/atom
SG: No. 43
size of the total moment: 0.0 Bohr magnetons per cell

Structure (extended XYZ):
```
10
Lattice="3.845 -6.163 5.471 0.784 -1.514 8.055 -2.801 -5.419 0.667" Properties=species:S:1:pos:R:3 pbc="T T T"
Tc -0.567 -8.738 9.716
Tc -0.976 -7.311 5.816
Tc 0.872 -6.040 9.448
Tc 1.376 -11.162 12.644
Tc 1.212 -3.175 3.129
Tc -1.262 -6.834 8.303
Ba 1.631 -11.278 9.364
Ba 1.090 -4.714 6.442
Ba 2.287 -8.213 11.272
Ba 1.915 -8.229 7.097
```


Entry 7:
## BaTc4 (PBE-GGA)

Data for a relaxed BaTc4 crystal.

VASP energy: -5.842 eV/atom
energy of formation: 273.6 kJ/mol of atoms
energy relative to the lowest polymorph listed for this composition: 2431 meV/atom
SG: No. 229
size of the total moment: 1.2 Bohr magnetons per cell

Structure (extended XYZ):
```
5
Lattice="4.685 1.854 1.151 -3.499 3.780 0.418 -1.193 -3.820 3.270" Properties=species:S:1:pos:R:3 pbc="T T T"
Tc -0.003 0.907 2.420
Tc -0.596 -1.910 1.635
Tc -1.749 1.890 0.209
Tc 2.342 0.927 0.576
Ba 0.000 0.000 0.000
```


Entry 8:
## BaTc3 (PBE-GGA)

Data for a relaxed BaTc3 crystal.

VASP energy: -7.278 eV/atom
energy of formation: 94.3 kJ/mol of atoms
energy relative to the lowest polymorph listed for this composition: 385 meV/atom
SG: No. 63
size of the total moment: 0.6 Bohr magnetons per cell

Structure (extended XYZ):
```
8
Lattice="3.657 -4.925 0.000 3.657 4.925 0.000 0.000 0.000 4.676" Properties=species:S:1:pos:R:3 pbc="T T T"
Tc 2.525 2.919 3.507
Tc 3.657 4.392 1.169
Tc 3.657 -4.392 3.507
Tc 4.789 2.919 3.507
Tc 2.525 -2.919 1.169
Tc 4.789 -2.919 1.169
Ba 3.657 -0.961 3.507
Ba 3.657 0.961 1.169
```


Entry 9:
## BaTc (PBE-GGA)

Data for a relaxed BaTc crystal.

VASP energy: -4.763 eV/atom
energy of formation: 133.3 kJ/mol of atoms
energy relative to the lowest polymorph listed for this composition: 1061 meV/atom
SG: No. 123
size of the total moment: 2.2 Bohr magnetons per cell

Structure (extended XYZ):
```
2
Lattice="3.430 0.000 0.000 0.000 3.430 0.000 0.000 0.000 4.725" Properties=species:S:1:pos:R:3 pbc="T T T"
Tc 1.715 1.715 2.363
Ba 0.000 0.000 0.000
```


Entry 10:
## Ba2Tc (PBE-GGA)

Data for a relaxed Ba2Tc crystal.

VASP energy: -3.770 eV/atom
energy of formation: 93.3 kJ/mol of atoms
energy relative to the lowest polymorph listed for this composition: 630 meV/atom
SG: No. 164
size of the total moment: 0.0 Bohr magnetons per cell

Structure (extended XYZ):
```
3
Lattice="-2.458 -1.312 2.727 2.553 -2.436 -1.657 5.661 1.855 5.997" Properties=species:S:1:pos:R:3 pbc="T T T"
Tc 0.000 0.000 0.000
Ba 5.091 -0.682 4.262
Ba 0.665 -1.210 2.805
```


Entry 11:
## BaTc (PBE-GGA)

Data for a relaxed BaTc crystal.

VASP energy: -4.803 eV/atom
energy of formation: 129.4 kJ/mol of atoms
energy relative to the lowest polymorph listed for this composition: 1021 meV/atom
SG: No. 227
size of the total moment: 1.5 Bohr magnetons per cell

Structure (extended XYZ):
```
4
Lattice="5.227 0.000 0.000 2.613 4.526 0.000 2.613 1.509 4.267" Properties=species:S:1:pos:R:3 pbc="T T T"
Tc 5.227 3.018 2.134
Tc 7.840 4.526 3.201
Ba 2.613 1.509 1.067
Ba 0.000 0.000 0.000
```


Entry 12:
## Ba5Tc (PBE-GGA)

Data for a relaxed Ba5Tc crystal.

VASP energy: -2.714 eV/atom
energy of formation: 59.4 kJ/mol of atoms
energy relative to the lowest polymorph listed for this composition: 178 meV/atom
SG: No. 189
size of the total moment: 0.0 Bohr magnetons per cell

Structure (extended XYZ):
```
6
Lattice="-4.820 6.600 0.219 -0.654 -5.337 -6.159 -3.324 -2.511 2.530" Properties=species:S:1:pos:R:3 pbc="T T T"
Ba -0.488 -3.979 -4.591
Ba -5.094 1.365 -0.642
Ba -3.705 -2.614 -2.768
Ba -1.393 0.321 -1.511
Ba -3.593 4.921 0.163
Tc -1.662 -1.256 1.265
```